DFT (PBE) results for a relaxed structure of LiSbMoW.

Cell lengths 6.349, 6.349, 6.349 Å; angles 90.00, 90.00, 90.00 degrees
Space group F-43m (No. 216)
Unique sites:
1 Li 0.000 0.000 0.000
2 Sb 0.250 0.250 0.750
3 Mo 0.000 0.000 0.500
4 W 0.250 0.250 0.250

Its calculated density is 10.6 g/cm³. The calculation puts the energy above the most stable polymorph in this dataset at 0 meV per atom. For the volume, the calculation gives 255.89 Å³/cell.



DFT (PBE) results for a relaxed structure of LiSbMoW.

Cell lengths 6.371, 6.371, 6.371 Å; angles 90.00, 90.00, 90.00 degrees
Space group F-43m (No. 216)
Unique sites:
1 Li 0.000 0.000 0.000
2 Sb 0.000 0.000 0.500
3 Mo 0.250 0.250 0.750
4 W 0.250 0.250 0.250

Its calculated density is 10.5 g/cm³. The calculation puts the energy above the most stable polymorph in this dataset at 498 meV per atom. For the volume, the calculation gives 258.58 Å³/cell.



DFT (PBE) results for a relaxed structure of LiSc2Mo.

Cell lengths 6.654, 6.654, 6.654 Å; angles 90.00, 90.00, 90.00 degrees
Space group F-43m (No. 216)
Unique sites:
1 Li 0.000 0.000 0.000
2 Sc 0.000 0.000 0.500
3 Sc 0.250 0.250 0.750
4 Mo 0.250 0.250 0.250

Its calculated density is 4.3 g/cm³. The value obtained for the total energy is -94.69 eV for the cell shown. For the volume, the calculation gives 294.57 Å³/cell.



DFT (PBE) results for a relaxed structure of LiScMo.

Cell lengths 6.009, 6.009, 6.009 Å; angles 90.00, 90.00, 90.00 degrees
Space group F-43m (No. 216)
Unique sites:
1 Li 0.000 0.000 0.000
2 Sc 0.250 0.250 0.250
3 Mo 0.250 0.250 0.750

Its calculated density is 4.5 g/cm³. The calculation puts the energy above the most stable polymorph in this dataset at 0 meV per atom. For the volume, the calculation gives 217.02 Å³/cell.



Q: The lowest volume belongs to which entry?
A: LiScMo